This record from Alexandria via LeMat-Bulk describes a relaxed structure of GdYPd2. The functional is PBE.

Lattice parameters (Å, degrees): 4.109 4.109 20.111 90.00 90.00 120.00
Fractional coordinates of all 12 atoms:
Gd1 0.000 0.000 0.000
Gd2 0.333 0.667 0.667
Gd3 0.667 0.333 0.333
Y1 0.000 0.000 0.500
Y2 0.333 0.667 0.167
Y3 0.667 0.333 0.833
Pd1 0.000 0.000 0.250
Pd2 0.000 0.000 0.750
Pd3 0.333 0.667 0.417
Pd4 0.333 0.667 0.916
Pd5 0.667 0.333 0.084
Pd6 0.667 0.333 0.583

Values from the calculation:
DOS at the Fermi energy = 8.90 states/eV/cell
Crystal system = trigonal

***

This record from Alexandria via LeMat-Bulk describes a relaxed structure of GdYPd. The functional is PBE.

Lattice parameters (Å, degrees): 6.954 6.954 6.954 90.00 90.00 90.00
Fractional coordinates of all 12 atoms:
Gd1 0.000 0.000 0.000
Gd2 0.000 0.500 0.500
Gd3 0.500 0.000 0.500
Gd4 0.500 0.500 0.000
Y1 0.000 0.000 0.500
Y2 0.000 0.500 0.000
Y3 0.500 0.000 0.000
Y4 0.500 0.500 0.500
Pd1 0.250 0.250 0.750
Pd2 0.250 0.750 0.250
Pd3 0.750 0.250 0.250
Pd4 0.750 0.750 0.750

Values from the calculation:
ΔE to the lowest computed polymorph = 89 meV per atom
DOS at the Fermi energy = 14.40 states/eV/cell
Crystal system = cubic

***

This record from Alexandria via LeMat-Bulk describes a relaxed structure of GdYPd. The functional is PBE.

Lattice parameters (Å, degrees): 3.592 3.592 11.888 90.00 90.00 90.00
Fractional coordinates of all 6 atoms:
Gd1 0.000 0.000 0.000
Gd2 0.500 0.500 0.500
Y1 0.000 0.000 0.285
Y2 0.500 0.500 0.785
Pd1 0.000 0.000 0.646
Pd2 0.500 0.500 0.146

Values from the calculation:
ΔE to the lowest computed polymorph = 0 meV per atom
DOS at the Fermi energy = 5.28 states/eV/cell
Crystal system = tetragonal

***

This record from Alexandria via LeMat-Bulk describes a relaxed structure of GdYPd2. The functional is PBE.

Lattice parameters (Å, degrees): 5.040 5.040 3.462 90.00 90.00 90.00
Fractional coordinates of all 4 atoms:
Gd1 0.000 0.000 0.000
Y1 0.500 0.500 0.000
Pd1 0.000 0.500 0.500
Pd2 0.500 0.000 0.500

Values from the calculation:
DOS at the Fermi energy = 2.38 states/eV/cell
Crystal system = tetragonal

***

| no. | final energy (eV per atom) |
| --- | --- |
| 1 | -8.45 |
| 2 | -9.03 |
| 3 | -9.12 |
| 4 | -8.59 |